The following is a DFT calculation (GGA-PBE) of crystalline BaSc2Pt at its relaxed geometry.

Output
Fermi-level density of states = 4.63 states/eV/f.u.
Uncorrected energy = -5.628 eV/atom
Space-group type = R3m, No. 160
Calculated density = 5.75 g cm⁻³
Volume = 121.9 Å³/cell

extended XYZ file:
```
4
Lattice="2.203 1.272 7.251 -2.203 1.272 7.251 0.000 -2.544 7.251" Properties=species:S:1:pos:R:3 pbc="T T T"
Ba 0.000 0.000 0.000
Sc 0.000 0.000 4.512
Sc 0.000 0.000 9.850
Pt 0.000 0.000 18.014
```